(w)
Material: ScRe2Os
Method: DFT, PBEsol
State: relaxed

Unit cell a=4.404 b=4.404 c=4.404 alpha=60.00 beta=60.00 gamma=60.00
Fractional positions:
Sc1 0.250 0.250 0.250
Re1 0.000 0.000 0.000
Re2 0.750 0.750 0.750
Os1 0.500 0.500 0.500

Summary:
- Density: 16703 kg/m³

=====

(x)
Material: ScRe2Os
Method: DFT, PBEsol
State: relaxed

Unit cell a=2.803 b=4.951 c=4.951 alpha=116.84 beta=90.00 gamma=90.00
Fractional positions:
Os1 0.500 0.500 0.500
Re1 0.000 0.500 0.000
Re2 0.000 0.000 0.500
Sc1 0.500 0.000 0.000

Summary:
- Density: 16458 kg/m³

=====

The computed energies, referenced to the most stable structure and given in kJ/mol of atoms, are (w) 0.0; (x) 21.0.

=====

(w)
Material: ScRe2Os
Method: DFT, PBEsol
State: relaxed

Unit cell a=2.867 b=4.579 c=5.144 alpha=105.60 beta=106.18 gamma=90.00
Fractional positions:
Sc1 0.000 0.500 0.000
Re1 0.770 0.775 0.540
Re2 0.230 0.225 0.460
Os1 0.500 0.000 0.000

Summary:
- Density: 16204 kg/m³

=====

(x)
Material: ScRe2Os
Method: DFT, PBEsol
State: relaxed

Unit cell a=3.070 b=4.366 c=4.518 alpha=90.00 beta=90.00 gamma=90.00
Fractional positions:
Re1 0.500 0.500 0.000
Re2 0.000 0.000 0.000
Sc1 0.500 0.000 0.500
Os1 0.000 0.500 0.500

Summary:
- Density: 16665 kg/m³

=====

The computed energies, referenced to the most stable structure and given in kJ/mol of atoms, are (w) 7.3; (x) 0.0.

=====

(w)
Material: ScRe2Os
Method: DFT, PBEsol
State: relaxed

Unit cell a=2.819 b=2.819 c=9.137 alpha=81.13 beta=81.13 gamma=60.00
Fractional positions:
Re1 0.746 0.746 0.762
Re2 0.000 0.000 0.001
Os1 0.254 0.254 0.238
Sc1 0.501 0.501 0.498

Summary:
- Density: 16311 kg/m³

=====

(x)
Material: ScRe2Os
Method: DFT, PBEsol
State: relaxed

Unit cell a=3.794 b=3.794 c=4.266 alpha=90.00 beta=90.00 gamma=90.00
Fractional positions:
Sc1 0.500 0.500 0.500
Re1 0.500 0.000 0.000
Re2 0.000 0.500 0.000
Os1 0.000 0.000 0.500

Summary:
- Density: 16432 kg/m³

=====

The computed energies, referenced to the most stable structure and given in kJ/mol of atoms, are (w) 0.0; (x) 5.6.

=====

(w)
Material: ReOsSe2
Method: DFT, PBEsol
State: relaxed

Unit cell a=2.835 b=2.835 c=8.883 alpha=90.00 beta=90.00 gamma=118.80
Fractional positions:
Se1 0.000 0.000 0.250
Se2 0.000 0.000 0.750
Os1 0.500 0.500 0.500
Re1 0.500 0.500 0.000

Summary:
- Density: 14177 kg/m³

=====

(x)
Material: ReOsSe2
Method: DFT, PBEsol
State: relaxed

Unit cell a=3.058 b=5.011 c=5.698 alpha=96.77 beta=90.00 gamma=107.76
Fractional positions:
Se1 0.716 0.432 0.319
Se2 0.953 0.906 0.905
Os1 0.557 0.113 0.628
Re1 0.274 0.549 0.648

Summary:
- Density: 10753 kg/m³

=====

The computed energies, referenced to the most stable structure and given in kJ/mol of atoms, are (w) 57.2; (x) 0.0.

=====

(w)
Material: ReOsSe2
Method: DFT, PBEsol
State: relaxed

Unit cell a=2.977 b=4.278 c=5.156 alpha=101.21 beta=90.00 gamma=110.36
Fractional positions:
Re1 0.500 0.000 0.000
Se1 0.244 0.489 0.246
Se2 0.756 0.511 0.754
Os1 0.000 0.000 0.500

Summary:
- Density: 14729 kg/m³

=====

(x)
Material: ReOsSe2
Method: DFT, PBEsol
State: relaxed

Unit cell a=2.902 b=2.902 c=8.073 alpha=90.00 beta=90.00 gamma=90.00
Fractional positions:
Re1 0.500 0.500 0.743
Os1 0.000 0.000 0.510
Se1 0.500 0.500 0.314
Se2 0.000 0.000 0.934

Summary:
- Density: 13048 kg/m³

=====

The computed energies, referenced to the most stable structure and given in kJ/mol of atoms, are (w) 35.4; (x) 0.0.

=====

(w)
Material: Sr2ReOs
Method: DFT, PBEsol
State: relaxed

Unit cell a=4.886 b=4.886 c=4.886 alpha=60.00 beta=60.00 gamma=60.00
Fractional positions:
Sr1 0.000 0.000 0.000
Sr2 0.750 0.750 0.750
Re1 0.250 0.250 0.250
Os1 0.500 0.500 0.500

Summary:
- Density: 11107 kg/m³

=====

(x)
Material: Sr2ReOs
Method: DFT, PBEsol
State: relaxed

Unit cell a=2.822 b=2.822 c=10.159 alpha=90.00 beta=90.00 gamma=90.05
Fractional positions:
Re1 0.500 0.500 0.500
Sr1 0.000 0.000 0.757
Sr2 0.000 0.000 0.243
Os1 0.500 0.500 0.000

Summary:
- Density: 11320 kg/m³

=====

The computed energies, referenced to the most stable structure and given in kJ/mol of atoms, are (w) 0.0; (x) 3.4.

=====

(w)
Material: ReTc2Os
Method: DFT, PBEsol
State: relaxed

Unit cell a=2.715 b=4.708 c=4.709 alpha=99.57 beta=90.00 gamma=106.76
Fractional positions:
Os1 0.503 0.006 0.501
Re1 0.749 0.498 0.252
Tc1 0.244 0.489 0.749
Tc2 0.004 0.008 0.999

Summary:
- Density: 16748 kg/m³

=====

(x)
Material: ReTc2Os
Method: DFT, PBEsol
State: relaxed

Unit cell a=3.838 b=3.838 c=3.846 alpha=90.00 beta=90.00 gamma=90.00
Fractional positions:
Tc1 0.500 0.000 0.000
Tc2 0.000 0.500 0.000
Re1 0.000 0.000 0.500
Os1 0.500 0.500 0.500

Summary:
- Density: 16777 kg/m³

=====

The computed energies, referenced to the most stable structure and given in kJ/mol of atoms, are (w) 1.2; (x) 0.0.

=====

(w)
Material: TlReOs2
Method: DFT, PBEsol
State: relaxed

Unit cell a=2.815 b=3.776 c=6.002 alpha=90.00 beta=90.00 gamma=90.00
Fractional positions:
Tl1 0.500 0.500 0.500
Re1 0.500 0.500 0.000
Os1 0.000 0.000 0.218
Os2 0.000 0.000 0.782

Summary:
- Density: 20065 kg/m³

=====

(x)
Material: TlReOs2
Method: DFT, PBEsol
State: relaxed

Unit cell a=2.800 b=3.914 c=5.852 alpha=90.00 beta=90.00 gamma=90.00
Fractional positions:
Tl1 0.500 0.500 0.756
Re1 0.000 0.000 0.455
Os1 0.000 0.000 0.024
Os2 0.500 0.500 0.264

Summary:
- Density: 19965 kg/m³

=====

The computed energies, referenced to the most stable structure and given in kJ/mol of atoms, are (w) 0.0; (x) 7.7.

=====

(w)
Material: Re2OsW
Method: DFT, PBEsol
State: relaxed

Unit cell a=2.751 b=2.751 c=9.144 alpha=81.35 beta=81.35 gamma=60.00
Fractional positions:
Re1 0.000 0.000 0.001
Re2 0.252 0.252 0.244
Os1 0.750 0.750 0.751
W1 0.499 0.499 0.504

Summary:
- Density: 20998 kg/m³

=====

(x)
Material: Re2OsW
Method: DFT, PBEsol
State: relaxed

Unit cell a=4.379 b=4.379 c=4.379 alpha=60.00 beta=60.00 gamma=60.00
Fractional positions:
Os1 0.000 0.000 0.000
Re1 0.750 0.750 0.750
Re2 0.250 0.250 0.250
W1 0.500 0.500 0.500

Summary:
- Density: 20883 kg/m³

=====

(y)
Material: Re2OsW
Method: DFT, PBEsol
State: relaxed

Unit cell a=2.901 b=4.518 c=4.536 alpha=90.00 beta=90.00 gamma=90.00
Fractional positions:
Re1 0.500 0.500 0.000
Re2 0.000 0.000 0.000
Os1 0.000 0.500 0.500
W1 0.500 0.000 0.500

Summary:
- Density: 20847 kg/m³

=====

The computed energies, referenced to the most stable structure and given in kJ/mol of atoms, are (w) 0.0; (x) 23.9; (y) 21.2.

=====

(w)
Material: ReOsW2
Method: DFT, PBEsol
State: relaxed

Unit cell a=2.712 b=2.712 c=8.712 alpha=90.00 beta=90.00 gamma=109.94
Fractional positions:
Re1 0.500 0.500 0.000
Os1 0.500 0.500 0.500
W1 0.000 0.000 0.749
W2 0.000 0.000 0.251

Summary:
- Density: 20519 kg/m³

=====

(x)
Material: ReOsW2
Method: DFT, PBEsol
State: relaxed

Unit cell a=3.874 b=3.941 c=3.941 alpha=90.00 beta=90.00 gamma=90.00
Fractional positions:
Re1 0.500 0.000 0.000
Os1 0.500 0.500 0.500
W1 0.000 0.500 0.000
W2 0.000 0.000 0.500

Summary:
- Density: 20540 kg/m³

=====

The computed energies, referenced to the most stable structure and given in kJ/mol of atoms, are (w) 9.8; (x) 0.0.

=====

(w)
Material: YRe2Os
Method: DFT, PBEsol
State: relaxed

Unit cell a=2.901 b=4.758 c=5.312 alpha=106.16 beta=105.85 gamma=90.00
Fractional positions:
Re1 0.277 0.290 0.554
Re2 0.723 0.710 0.446
Os1 0.000 0.500 0.000
Y1 0.500 0.000 0.000

Summary:
- Density: 16024 kg/m³

=====

(x)
Material: YRe2Os
Method: DFT, PBEsol
State: relaxed

Unit cell a=2.797 b=2.797 c=8.492 alpha=90.00 beta=90.00 gamma=90.00
Fractional positions:
Y1 0.500 0.500 0.000
Re1 0.000 0.000 0.285
Re2 0.000 0.000 0.715
Os1 0.500 0.500 0.500

Summary:
- Density: 16280 kg/m³

=====

The computed energies, referenced to the most stable structure and given in kJ/mol of atoms, are (w) 0.6; (x) 0.0.

=====

(w)
Material: YReOs2
Method: DFT, PBEsol
State: relaxed

Unit cell a=4.493 b=4.493 c=4.493 alpha=91.72 beta=119.01 gamma=119.01
Fractional positions:
Os1 0.500 0.250 0.750
Os2 0.500 0.750 0.250
Y1 0.000 0.500 0.500
Re1 0.000 0.000 0.000

Summary:
- Density: 16730 kg/m³

=====

(x)
Material: YReOs2
Method: DFT, PBEsol
State: relaxed

Unit cell a=2.988 b=4.669 c=4.669 alpha=95.20 beta=90.00 gamma=90.00
Fractional positions:
Y1 0.500 0.500 0.500
Re1 0.500 0.000 0.000
Os1 0.000 0.500 0.000
Os2 0.000 0.000 0.500

Summary:
- Density: 16785 kg/m³

=====

(y)
Material: YReOs2
Method: DFT, PBEsol
State: relaxed

Unit cell a=2.804 b=3.767 c=6.467 alpha=90.00 beta=90.00 gamma=90.00
Fractional positions:
Os1 0.000 0.000 0.048
Os2 0.500 0.500 0.252
Y1 0.500 0.500 0.757
Re1 0.000 0.000 0.444

Summary:
- Density: 15941 kg/m³

=====

The computed energies, referenced to the most stable structure and given in kJ/mol of atoms, are (w) 7.9; (x) 0.0; (y) 0.5.

=====

(w)
Material: Zn2ReOs
Method: DFT, PBEsol
State: relaxed

Unit cell a=2.850 b=4.481 c=5.133 alpha=115.88 beta=106.12 gamma=90.00
Fractional positions:
Zn1 0.753 0.753 0.506
Zn2 0.247 0.247 0.494
Os1 0.500 0.000 0.000
Re1 0.000 0.500 0.000

Summary:
- Density: 15012 kg/m³

=====

(x)
Material: Zn2ReOs
Method: DFT, PBEsol
State: relaxed

Unit cell a=2.747 b=4.634 c=4.664 alpha=100.49 beta=90.00 gamma=107.24
Fractional positions:
Os1 0.500 0.000 0.000
Zn1 0.751 0.503 0.752
Zn2 0.249 0.497 0.248
Re1 0.000 0.000 0.500

Summary:
- Density: 15134 kg/m³

=====

(y)
Material: Zn2ReOs
Method: DFT, PBEsol
State: relaxed

Unit cell a=3.699 b=3.699 c=4.100 alpha=90.00 beta=90.00 gamma=90.00
Fractional positions:
Zn1 0.500 0.000 0.000
Zn2 0.000 0.500 0.000
Re1 0.000 0.000 0.500
Os1 0.500 0.500 0.500

Summary:
- Density: 15016 kg/m³

=====

The computed energies, referenced to the most stable structure and given in kJ/mol of atoms, are (w) 4.8; (x) 0.0; (y) 19.1.

=====

(w)
Material: Zn2ReOs
Method: DFT, PBEsol
State: relaxed

Unit cell a=2.849 b=2.849 c=6.843 alpha=90.00 beta=90.00 gamma=90.00
Fractional positions:
Zn1 0.000 0.000 0.006
Zn2 0.500 0.500 0.248
Re1 0.500 0.500 0.742
Os1 0.000 0.000 0.504

Summary:
- Density: 15165 kg/m³

=====

(x)
Material: Zn2ReOs
Method: DFT, PBEsol
State: relaxed

Unit cell a=2.994 b=2.994 c=6.021 alpha=90.00 beta=90.00 gamma=90.00
Fractional positions:
Zn1 0.000 0.000 0.244
Zn2 0.000 0.000 0.756
Os1 0.500 0.500 0.000
Re1 0.500 0.500 0.500

Summary:
- Density: 15608 kg/m³

=====

The computed energies, referenced to the most stable structure and given in kJ/mol of atoms, are (w) 0.0; (x) 48.1.